No. 1
10
Lattice="-5.8102 -0.3200 4.4799 1.1633 -3.5875 1.2525 5.0414 2.8965 3.6141" Properties=species:S:1:pos:R:3 comment="SrTcNiSbH (GGA-PBE, relaxed)" sg="No. 8" vol_a3_per_cell=191.9 m_tot_mub_per_fu=0.00 e_tot_ev_per_cell=-51.03 mass_density_g_cm3=6.4 pbc="T T T"
Sr 2.0866 -0.8535 1.9218
Tc -3.5220 -0.1793 2.7574
H -0.9954 -0.1471 6.8075
Sr 4.0257 2.3885 3.1025
Ni -2.3605 0.8526 4.6343
H -4.0977 0.1984 4.3742
Sb 2.2638 0.3102 5.0902
Sb -0.8386 0.6557 2.6569
Ni 0.7419 0.5070 7.0676
Tc -0.4196 -0.5249 5.1907

***

No. 2
12
Lattice="6.4860 0.1545 0.9834 1.5920 5.4777 3.1940 0.1124 0.0634 6.5261" Properties=species:S:1:pos:R:3 comment="Sc6SbS5 (GGA-PBE, relaxed)" formation_energy_uncorrected_ev_per_atom=-1.67 sg="No. 12" vol_a3_per_cell=228.5 m_tot_mub_per_fu=0.00 mass_density_g_cm3=4.0 pbc="T T T"
Sc 2.1313 1.4886 1.1036
Sb 0.0000 0.0000 0.0000
S 0.5668 1.8417 3.2498
S 3.5747 0.9987 5.4370
S 1.1377 3.6993 6.4703
Sc 4.9350 0.6299 3.2939
Sc 5.9467 4.1436 3.0739
Sc 5.5262 2.5669 6.3682
Sc 2.6643 3.1287 4.3353
Sc 3.2554 5.0657 7.4096
S 4.0390 2.8161 2.0887
S 4.6158 4.6969 5.2665

***

No. 3
3
Lattice="4.5235 0.0000 0.0000 0.0000 4.3043 0.0000 0.0000 -2.1522 3.7277" Properties=species:S:1:pos:R:3 comment="LaBeSn (GGA-PBE, relaxed)" sg="No. 187" vol_a3_per_cell=72.6 m_tot_mub_per_fu=0.00 e_tot_ev_per_cell=-14.12 mass_density_g_cm3=6.1 pbc="T T T"
Sn 0.7547 0.0000 0.0000
La 3.0171 0.0000 2.4851
Be 0.7517 2.1522 1.2426

***

No. 4
26
Lattice="6.7552 -0.0054 0.0000 -0.8595 6.7003 0.0000 0.0000 0.0000 8.9604" Properties=species:S:1:pos:R:3 comment="YbAl10Fe2 (GGA-PBE, relaxed)" sg="No. 63" vol_a3_per_cell=405.5 m_tot_mub_per_fu=0.17 e_tot_ev_per_cell=-120.41 mass_density_g_cm3=4.5 pbc="T T T"
Al 1.9885 4.1923 8.5357
Fe -0.4298 3.3502 4.4802
Al 5.5585 1.0485 5.3396
Fe 3.3776 -0.0027 0.0000
Fe 3.3776 -0.0027 4.4802
Al 2.6894 0.8829 2.2401
Al 3.9072 2.5026 4.0555
Al 3.0170 1.4711 6.7203
Al 4.5596 5.1777 0.0000
Al 1.9885 4.1923 4.9048
Al 1.3361 1.5173 0.0000
Al 0.5357 2.7795 6.7203
Al 3.9072 2.5026 0.4247
Al 2.8787 5.2238 2.2401
Al 4.8179 3.5162 6.7203
Yb 0.0612 5.8895 6.7203
Al 0.3372 5.6465 3.6207
Al 4.5596 5.1777 4.4802
Al 1.0778 3.1788 2.2401
Fe -0.4298 3.3502 0.0000
Al 1.3361 1.5173 4.4802
Al 0.3372 5.6465 0.8594
Yb 5.8345 0.8054 2.2401
Al 5.5585 1.0485 8.1009
Al 5.3600 3.9155 2.2401
Al 3.2063 5.8120 6.7203

***

No. 5
20
Lattice="3.2807 0.0000 0.0000 0.0000 8.1478 0.0000 0.0000 0.0000 8.1478" Properties=species:S:1:pos:R:3 comment="Be2Fe2Ni5Ge (GGA-PBE, relaxed)" sg="No. 127" vol_a3_per_cell=217.8 m_tot_mub_per_fu=6.56 e_tot_ev_per_cell=-118.44 mass_density_g_cm3=7.6 pbc="T T T"
Be 0.0000 7.1747 3.1008
Ni 1.6404 1.7014 0.5761
Ge 0.0000 0.0000 0.0000
Ni 1.6404 2.3725 4.6500
Ni 1.6404 0.5761 6.4464
Ni 1.6404 4.0739 0.0000
Ni 1.6404 3.4978 2.3725
Ni 1.6404 5.7753 3.4978
Fe 0.0000 1.4228 2.6511
Fe 0.0000 6.7250 5.4967
Ni 1.6404 4.6500 5.7753
Ni 1.6404 6.4464 7.5717
Fe 0.0000 2.6511 6.7250
Ni 1.6404 7.5717 1.7014
Be 0.0000 5.0470 7.1747
Ge 0.0000 4.0739 4.0739
Ni 1.6404 0.0000 4.0739
Be 0.0000 3.1008 0.9731
Fe 0.0000 5.4967 1.4228
Be 0.0000 0.9731 5.0470

***

No. 6
12
Lattice="-1.9739 -5.3016 2.4748 -2.4829 -1.8896 -6.0282 6.5170 -0.1484 1.1839" Properties=species:S:1:pos:R:3 comment="CsCuH4 (GGA-PBE, relaxed)" sg="No. 12" vol_a3_per_cell=230.3 m_tot_mub_per_fu=0.00 e_tot_ev_per_cell=-37.55 mass_density_g_cm3=2.9 pbc="T T T"
H 3.5586 -4.4517 -1.7590
Cs 0.1748 -5.6478 -2.1232
H -1.4984 -2.8879 -0.6105
H -2.5956 -3.7228 -3.2743
Cs 1.8854 -1.6918 -0.2463
H -1.7037 -1.2966 -4.1364
Cu 2.5309 -5.5309 0.6913
H 1.4216 -4.4536 0.8105
H 4.6558 -3.6168 0.9048
Cu -0.4707 -1.8087 -3.0608
H -0.7792 -0.5930 -1.8918
H 0.6385 -2.8860 -3.1800

***

No. 7
5
Lattice="-4.8655 -1.0712 1.7900 1.9441 -3.9755 2.9052 0.4931 2.1691 2.6382" Properties=species:S:1:pos:R:3 comment="MnTe2AuN (GGA-PBE, relaxed)" formation_energy_uncorrected_ev_per_atom=0.23 sg="No. 123" vol_a3_per_cell=96.7 m_tot_mub_per_fu=0.80 mass_density_g_cm3=8.9 pbc="T T T"
Te -2.4327 -0.5356 0.8950
Au -1.2142 -1.4388 3.6667
Te 0.9720 -1.9878 1.4526
Mn 0.0000 0.0000 0.0000
N 0.2465 1.0845 1.3191

***

No. 8
3
Lattice="3.1919 0.0000 0.0105 0.0000 3.0861 0.0000 -0.0205 0.0000 5.5285" Properties=species:S:1:pos:R:3 comment="LaNbH (GGA-PBE, relaxed)" sg="No. 25" vol_a3_per_cell=54.5 m_tot_mub_per_fu=0.00 e_tot_ev_per_cell=-17.77 mass_density_g_cm3=7.1 pbc="T T T"
La 0.7440 1.5430 2.9155
H 0.7516 0.0000 1.0874
Nb 2.3513 0.0000 0.0220

***

No. 9
4
Lattice="9.1492 0.0038 0.0022 8.7373 2.7143 0.0022 8.7373 1.3278 2.3673" Properties=species:S:1:pos:R:3 comment="Ir2RuPt (GGA-PBE, relaxed)" sg="No. 160" vol_a3_per_cell=58.7 m_tot_mub_per_fu=0.00 e_tot_ev_per_cell=-32.89 mass_density_g_cm3=19.3 pbc="T T T"
Pt 13.2873 2.0192 1.1837
Ir 0.0317 0.0048 0.0028
Ir 6.7172 1.0208 0.5984
Ru 19.8995 3.0240 1.7728

***

No. 10
4
Lattice="-2.1383 -4.9634 -2.0636 -0.6439 -3.3436 4.6767 -1.9621 5.0478 -2.0336" Properties=species:S:1:pos:R:3 comment="La2TlCo (GGA-PBE, relaxed)" sg="No. 71" vol_a3_per_cell=108.2 m_tot_mub_per_fu=0.00 e_tot_ev_per_cell=-19.75 mass_density_g_cm3=8.3 pbc="T T T"
Tl -2.7457 -2.0345 -1.3953
Co -1.9985 -1.2246 1.9748
La -1.2377 -3.6954 1.1624
La -0.1534 -0.4581 0.1441

***

No. 11
8
Lattice="6.5491 0.0000 0.0000 0.0000 6.5491 0.0000 0.0000 0.0000 6.5491" Properties=species:S:1:pos:R:3 comment="Pr3NdBi4 (GGA-PBE, relaxed)" sg="No. 221" vol_a3_per_cell=280.9 m_tot_mub_per_fu=0.00 e_tot_ev_per_cell=-42.34 mass_density_g_cm3=8.3 pbc="T T T"
Nd 0.0000 0.0000 0.0000
Pr 3.2745 0.0000 3.2745
Pr 0.0000 3.2745 3.2745
Bi 3.2745 3.2745 3.2745
Pr 3.2745 3.2745 0.0000
Bi 3.2745 0.0000 0.0000
Bi 0.0000 0.0000 3.2745
Bi 0.0000 3.2745 0.0000

***

No. 12
3
Lattice="-0.0606 3.3431 1.4146 -4.8942 0.4909 -1.3698 1.1892 -1.9167 4.5807" Properties=species:S:1:pos:R:3 comment="SmYAl (GGA-PBE, relaxed)" sg="No. 156" vol_a3_per_cell=82.0 m_tot_mub_per_fu=0.00 e_tot_ev_per_cell=-15.38 mass_density_g_cm3=5.4 pbc="T T T"
Sm -0.0580 3.1965 1.3526
Al -2.9058 1.8592 1.5323
Y -0.8626 0.2045 3.1552

***

No. 13
10
Lattice="5.5010 0.0000 0.0000 0.0000 6.1512 0.0000 0.0000 -3.0756 5.3271" Properties=species:S:1:pos:R:3 comment="K2TmSO6 (GGA-PBE, relaxed)" formation_energy_uncorrected_ev_per_atom=-1.65 sg="No. 164" vol_a3_per_cell=180.3 m_tot_mub_per_fu=1.04 mass_density_g_cm3=3.5 pbc="T T T"
S 0.0000 0.0000 0.0000
K 0.5849 0.0000 3.5514
Tm 2.7505 0.0000 0.0000
O 4.5074 0.0000 1.3745
O 4.5074 -1.8852 4.6398
K 4.9161 3.0756 1.7757
O 0.9936 3.0756 3.9526
O 0.9936 1.1903 0.6872
O 4.5074 1.8853 4.6398
O 0.9936 4.9608 0.6872

***

No. 14
10
Lattice="4.2754 0.0000 0.0000 0.0000 8.7127 -0.3441 -2.1377 -1.6085 9.1853" Properties=species:S:1:pos:R:3 comment="PuTh5Sb4 (GGA-PBE, relaxed)" formation_energy_uncorrected_ev_per_atom=-0.40 sg="No. 12" vol_a3_per_cell=339.8 m_tot_mub_per_fu=5.29 mass_density_g_cm3=9.2 pbc="T T T"
Sb 2.1377 4.9765 8.7306
Th 0.0000 2.4797 3.2660
Th 2.1377 4.3564 -0.1721
Sb 0.0000 7.0054 5.8044
Th 2.1377 0.6531 6.1171
Sb 0.0000 2.1277 0.1105
Th 2.1377 4.6245 5.5752
Pu 2.1377 0.0000 0.0000
Th 0.0000 6.4511 2.7240
Sb 2.1377 0.0988 3.0367

***

No. 15
4
Lattice="-4.3306 0.0534 -1.3131 2.8547 -3.8836 -1.7739 -1.7395 -1.4005 5.6800" Properties=species:S:1:pos:R:3 comment="LiAcSnPb (GGA-PBE, relaxed)" sg="No. 8" vol_a3_per_cell=119.7 m_tot_mub_per_fu=0.00 e_tot_ev_per_cell=-15.53 mass_density_g_cm3=7.8 pbc="T T T"
Pb -0.9137 -4.1054 2.8466
Sn -1.9463 -2.8914 -1.4976
Li 0.1630 -0.9321 -0.5755
Ac -2.8538 -1.5267 1.5511

***

No. 16
10
Lattice="5.3907 -0.9379 -0.8898 -3.2049 10.2223 1.0868 -3.0679 -2.1727 7.0824" Properties=species:S:1:pos:R:3 comment="KAuBr2Cl6 (GGA-PBE, relaxed)" formation_energy_uncorrected_ev_per_atom=-0.53 sg="No. 2" vol_a3_per_cell=350.7 m_tot_mub_per_fu=0.00 mass_density_g_cm3=2.9 pbc="T T T"
Br 0.4823 5.9003 1.7140
Cl -0.1374 3.2487 5.3541
Cl -0.6461 3.9091 1.6454
Cl -3.5798 9.0320 2.8934
Cl 2.0131 0.7408 0.8687
Br -1.2660 1.2577 5.2866
Au -0.8327 7.1349 7.1406
K 2.3039 3.1110 3.0550
Cl 2.7960 -1.8736 4.1086
Cl -2.7971 6.4173 6.1329

***

No. 17
5
Lattice="-3.2328 2.9564 -3.1585 1.2294 -3.1526 -4.2092 -4.2191 -3.2941 1.2350" Properties=species:S:1:pos:R:3 comment="CaGeSb2Te (GGA-PBE, relaxed)" formation_energy_uncorrected_ev_per_atom=0.05 sg="No. 123" vol_a3_per_cell=160.2 m_tot_mub_per_fu=0.00 mass_density_g_cm3=5.0 pbc="T T T"
Ca -3.1113 -1.7452 -3.0663
Ge 0.0000 0.0000 0.0000
Sb 0.6147 -1.5763 -2.1046
Sb -1.6164 1.4782 -1.5793
Te -2.1095 -1.6470 0.6175

***

No. 18
9
Lattice="-1.2225 -0.5394 4.7837 4.7624 -0.8565 1.1205 1.2255 8.4744 1.2687" Properties=species:S:1:pos:R:3 comment="SrScGa2Au5 (GGA-PBE, relaxed)" sg="No. 123" vol_a3_per_cell=213.5 m_tot_mub_per_fu=0.00 e_tot_ev_per_cell=-34.27 mass_density_g_cm3=9.8 pbc="T T T"
Au 3.3952 6.5834 1.6100
Sr 0.6128 4.2372 0.6344
Au 0.4027 6.7419 3.4416
Ga 2.7405 6.0136 3.9569
Au -0.3997 1.1931 2.6109
Au 2.3827 3.5393 3.5865
Sc 0.0000 0.0000 0.0000
Au 2.5928 1.0346 0.7793
Ga 2.0249 1.0649 3.2160

***

No. 19
4
Lattice="-2.8594 -2.7747 -1.1372 -3.8482 0.2509 1.5154 -3.1277 1.1405 -2.4667" Properties=species:S:1:pos:R:3 comment="ScAgB2 (GGA-PBE, relaxed)" sg="No. 225" vol_a3_per_cell=50.3 m_tot_mub_per_fu=0.00 e_tot_ev_per_cell=-20.22 mass_density_g_cm3=5.8 pbc="T T T"
B -2.4588 -0.3458 -0.5221
Ag -4.9177 -0.6916 -1.0443
B -7.3765 -1.0374 -1.5664
Sc 0.0000 0.0000 0.0000

***

No. 20
6
Lattice="2.5760 -4.4618 0.0000 2.5760 4.4618 0.0000 0.0000 0.0000 2.6668" Properties=species:S:1:pos:R:3 comment="PC (GGA-PBE, relaxed)" sg="No. 191" vol_a3_per_cell=61.3 m_tot_mub_per_fu=0.00 e_tot_ev_per_cell=-33.53 mass_density_g_cm3=3.5 pbc="T T T"
C 2.5760 0.0000 0.0000
P 0.0000 0.0000 0.0000
C 1.2880 -2.2309 0.0000
C 1.2880 2.2309 0.0000
P 2.5760 1.4873 1.3334
P 2.5760 -1.4873 1.3334

***

No. 21
5
Lattice="-3.7304 -2.6180 -1.9899 2.8281 -3.4125 -0.8121 -1.0352 -1.9213 4.4684" Properties=species:S:1:pos:R:3 comment="FePdPt2Se (GGA-PBE, relaxed)" formation_energy_uncorrected_ev_per_atom=1.25 sg="No. 123" vol_a3_per_cell=111.4 m_tot_mub_per_fu=3.96 mass_density_g_cm3=9.4 pbc="T T T"
Pt -1.8652 -1.3090 -0.9950
Se 1.4140 -1.7062 -0.4061
Fe -0.9688 -3.9759 0.8332
Pt -0.5176 -0.9607 2.2342
Pd 0.0000 0.0000 0.0000

***

No. 22
12
Lattice="-3.3405 3.7944 1.5923 -7.7769 -3.8468 1.6723 -0.0904 0.7181 6.9202" Properties=species:S:1:pos:R:3 comment="Mg7ScCd4 (GGA-PBE, relaxed)" sg="No. 12" vol_a3_per_cell=287.1 m_tot_mub_per_fu=0.54 e_tot_ev_per_cell=-19.99 mass_density_g_cm3=3.8 pbc="T T T"
Cd -3.5639 -0.0741 1.5209
Mg -5.3699 1.1616 3.6085
Mg -5.9728 2.7109 7.4729
Mg -1.6703 1.8972 0.7961
Cd -7.5669 -1.1248 4.4478
Sc 0.0000 0.0000 0.0000
Mg -5.8380 -0.4959 6.5762
Mg -5.2351 -2.0452 2.7118
Cd -3.6410 1.7906 5.7369
Cd -7.6440 0.7399 8.6638
Mg -1.6826 0.6925 3.6410
Mg -9.5253 -0.0267 6.5438

***

No. 23
4
Lattice="-1.6410 -1.5740 -1.7797 -0.9353 -2.8089 3.3467 -5.6046 3.9066 1.7126" Properties=species:S:1:pos:R:3 comment="BaRe2Au (GGA-PBE, relaxed)" sg="No. 47" vol_a3_per_cell=90.9 m_tot_mub_per_fu=0.00 e_tot_ev_per_cell=-26.06 mass_density_g_cm3=12.9 pbc="T T T"
Au -2.6893 -1.2148 1.2116
Re -0.4910 0.3422 0.1500
Re -2.3114 1.6111 0.7063
Ba -5.4916 0.7385 2.0679

***

No. 24
8
Lattice="8.8665 0.0000 0.0000 0.0000 8.8665 0.0000 4.4332 4.4332 3.2933" Properties=species:S:1:pos:R:3 comment="LaSn2Bi (GGA-PBE, relaxed)" sg="No. 122" vol_a3_per_cell=258.9 m_tot_mub_per_fu=0.00 e_tot_ev_per_cell=-36.06 mass_density_g_cm3=7.5 pbc="T T T"
Sn 2.0844 6.6499 0.8233
Sn 6.7820 2.2166 0.8233
Sn 6.6499 6.5177 2.4700
La 4.4332 8.8665 1.6467
Sn 11.0831 11.2153 2.4700
Bi 0.0000 0.0000 0.0000
Bi 8.8665 4.4332 1.6467
La 4.4332 4.4332 0.0000